# 1
A geometry-optimized LiCaW2 structure, computed with PBE-GGA.

Lattice parameters (Å, degrees): 5.9318 5.9318 4.5277 67.65 67.65 29.47
Closest atoms and distances in Å follow each position.
Fractional positions:
Li: 0.2500 0.2500 0.2500  4 Ca 2.72, 4 W 2.90, 2 Li 3.02
Ca: 0.7500 0.7500 0.7500  4 Li 2.72, 2 Ca 3.02
W: 0.9849 0.9849 0.0151  6 W 2.74-3.02, 2 Li 2.90
W: 0.5151 0.5151 0.4849  6 W 2.74-3.02, 2 Li 2.90

Results
The value obtained for the density of states at the Fermi level is 0.56 states/eV per atom. The distance to the lowest polymorph of the same formula is 0.45 eV/f.u. The formation energy is 0.6311 eV per atom. For the final energy, the calculation gives -0.5016 Ry/atom.

# 2
A geometry-optimized Ca2TaPSe structure, computed with PBE-GGA.

Lattice parameters (Å, degrees): 5.3802 4.7863 5.3802 90.00 90.00 90.00
Closest atoms and distances in Å follow each position.
Fractional positions:
Se: 0.0000 0.0000 0.0000  2 Ta 2.39
Ca: 0.5000 0.0000 0.0000  2 Se 2.69
Ca: 0.0000 0.0000 0.5000  2 Se 2.69
P: 0.5000 0.5000 0.5000  8 Ca 3.60, 4 Ta 3.80
Ta: 0.0000 0.5000 0.0000  2 Se 2.39

Results
The value obtained for the density of states at the Fermi level is 0.80 states/eV per atom. The calculation puts the formation energy without anion corrections at 0.10 eV per atom. For the final energy, the calculation gives -0.3563 Ry/atom.

# 3
A geometry-optimized SrGaSb structure, computed with PBE-GGA.

Lattice parameters (Å, degrees): 5.1770 4.4955 4.4955 120.00 90.00 90.00
Closest atoms and distances in Å follow each position.
Fractional positions:
Sr: 0.6871 0.6667 0.3333  3 Ga 3.19, 3 Sb 3.39
Ga: 0.0458 0.0000 0.0000  3 Sb 2.84
Sb: 0.2671 0.3333 0.6667  3 Ga 2.84

Results
The value obtained for the density of states at the Fermi level is 0.02 states/eV per atom. The calculation puts the formation energy without anion corrections at -0.62 eV per atom. The distance to the lowest polymorph of the same formula is 0.13 eV/f.u. For the final energy, the calculation gives -0.2623 Ry/atom.

# 4
A geometry-optimized Cr2WSe structure, computed with PBE-GGA.

Lattice parameters (Å, degrees): 2.9463 3.9145 4.9677 90.00 90.00 90.00
Closest atoms and distances in Å follow each position.
Fractional positions:
Cr: 0.5000 0.5000 0.2516  2 W 2.39-2.58
Se: 0.0000 0.0000 0.4843  6 Cr 2.44-2.71
Cr: 0.0000 0.0000 0.9940  2 Se 2.44-2.53, 4 W 2.69
W: 0.5000 0.5000 0.7701  2 Cr 2.39-2.58

Results
The value obtained for the density of states at the Fermi level is 0.86 states/eV per atom. The calculation puts the formation energy without anion corrections at 0.43 eV per atom. For the final energy, the calculation gives -0.6243 Ry/atom.

# 5
A geometry-optimized TlCOF2 structure, computed with PBE-GGA.

Lattice parameters (Å, degrees): 4.3964 4.3964 4.3174 90.00 90.00 90.00
Closest atoms and distances in Å follow each position.
Fractional positions:
C: 0.5000 0.5000 0.5000  8 F 3.08, 4 O 3.11
O: 0.0000 0.0000 0.5000  2 Tl 2.16
Tl: 0.0000 0.0000 0.0000  2 O 2.16, 4 F 2.20
F: 0.0000 0.5000 0.0000  2 Tl 2.20
F: 0.5000 0.0000 0.0000  2 Tl 2.20

Results
The value obtained for the density of states at the Fermi level is 0.27 states/eV per atom. The calculation puts the formation energy without anion corrections at 0.61 eV per atom. The distance to the lowest polymorph of the same formula is 3.86 eV/f.u. For the final energy, the calculation gives -0.2532 Ry/atom.

# 6
A geometry-optimized BeTlHg2Au structure, computed with PBE-GGA.

Lattice parameters (Å, degrees): 4.9448 4.9448 4.6959 90.00 90.00 90.00
Closest atoms and distances in Å follow each position.
Fractional positions:
Hg: 0.0000 0.5000 0.0000  2 Be 2.47
Be: 0.0000 0.0000 0.0000  2 Au 2.35, 4 Hg 2.47
Hg: 0.5000 0.0000 0.0000  2 Be 2.47
Au: 0.0000 0.0000 0.5000  2 Be 2.35
Tl: 0.5000 0.5000 0.5000  8 Hg 3.41, 4 Au 3.50

Results
The value obtained for the density of states at the Fermi level is 0.25 states/eV per atom. The formation energy is 0.1033 eV per atom. For the final energy, the calculation gives -0.1390 Ry/atom.

# 7
A geometry-optimized SrSc2Te structure, computed with PBE-GGA.

Lattice parameters (Å, degrees): 4.6184 4.6184 5.3779 90.00 90.00 90.00
Closest atoms and distances in Å follow each position.
Fractional positions:
Sc: 0.5000 0.5000 0.0000  4 Sc 3.27, 4 Te 3.54, 4 Sr 3.54
Te: 0.0000 0.5000 0.5000  4 Sr 3.27, 8 Sc 3.54
Sc: 0.0000 0.0000 0.0000  4 Sc 3.27, 4 Te 3.54, 4 Sr 3.54
Sr: 0.5000 0.0000 0.5000  4 Te 3.27, 8 Sc 3.54

Results
The value obtained for the density of states at the Fermi level is 1.44 states/eV per atom. The calculation puts the formation energy without anion corrections at -0.22 eV per atom. For the final energy, the calculation gives -0.3375 Ry/atom.

# 8
A geometry-optimized Ta3VRe4 structure, computed with PBE-GGA.

Lattice parameters (Å, degrees): 3.1684 3.1684 12.6569 90.00 90.00 90.00
Closest atoms and distances in Å follow each position.
Fractional positions:
Ta: 0.5000 0.5000 0.2446  8 Re 2.76
V: 0.5000 0.5000 0.0000  8 Re 2.69
Ta: 0.5000 0.5000 0.5000  8 Re 2.76
Re: 0.0000 0.0000 0.3726  8 Ta 2.76
Ta: 0.5000 0.5000 0.7554  8 Re 2.76
Re: 0.0000 0.0000 0.1173  4 V 2.69, 4 Ta 2.76, 1 Re 2.97
Re: 0.0000 0.0000 0.6274  8 Ta 2.76
Re: 0.0000 0.0000 0.8827  4 V 2.69, 4 Ta 2.76, 1 Re 2.97

Results
The value obtained for the density of states at the Fermi level is 0.41 states/eV per atom. The formation energy is -0.3768 eV per atom. For the final energy, the calculation gives -0.8956 Ry/atom.

# 9
A geometry-optimized Sm2HfGa3Pt4 structure, computed with PBE-GGA.

Lattice parameters (Å, degrees): 4.1672 4.1672 11.3401 90.00 90.00 90.00
Closest atoms and distances in Å follow each position.
Fractional positions:
Hf: 0.5000 0.5000 0.5000  4 Pt 2.68, 4 Ga 2.95
Ga: 0.5000 0.0000 0.8694  5 Pt 2.51-2.56
Pt: 0.5000 0.0000 0.6485  3 Ga 2.51-2.68, 2 Hf 2.68
Pt: 0.5000 0.5000 0.0000  4 Ga 2.56
Ga: 0.0000 0.0000 0.5000  4 Pt 2.68, 4 Hf 2.95
Pt: 0.0000 0.0000 0.0000  4 Ga 2.56
Pt: 0.0000 0.5000 0.3515  3 Ga 2.51-2.68, 2 Hf 2.68
Sm: 0.5000 0.0000 0.2353  4 Ga 3.18, 8 Pt 3.23-3.39
Sm: 0.0000 0.5000 0.7647  4 Ga 3.18, 8 Pt 3.23-3.39
Ga: 0.0000 0.5000 0.1306  5 Pt 2.51-2.56

Results
The value obtained for the density of states at the Fermi level is 0.53 states/eV per atom. The formation energy is -0.9814 eV per atom. For the final energy, the calculation gives -0.4590 Ry/atom.

# 10
A geometry-optimized CrCoRh structure, computed with PBE-GGA.

Lattice parameters (Å, degrees): 4.0369 4.0369 2.6005 90.00 90.00 120.00
Closest atoms and distances in Å follow each position.
Fractional positions:
Rh: 0.6667 0.3333 0.6666  2 Rh 2.60, 6 Co 2.67, 6 Cr 2.67
Co: 0.0000 0.0000 0.1670  3 Cr 2.33, 2 Co 2.60
Cr: 0.3333 0.6667 0.1665  3 Co 2.33, 2 Cr 2.60

Results
The value obtained for the density of states at the Fermi level is 1.27 states/eV per atom. The distance to the lowest polymorph of the same formula is 0.18 eV/f.u. The formation energy is 0.0520 eV per atom. For the final energy, the calculation gives -0.5861 Ry/atom.

# 11
A geometry-optimized La2Al4Cu3Pt structure, computed with PBE-GGA.

Lattice parameters (Å, degrees): 4.3080 4.3080 10.3027 90.00 90.00 90.00
Closest atoms and distances in Å follow each position.
Fractional positions:
Al: 0.5000 0.5000 0.0000  4 Cu 2.54
Al: 0.0000 0.0000 0.0000  4 Cu 2.54
Cu: 0.0000 0.0000 0.5000  4 Al 2.52
La: 0.0000 0.5000 0.7478  8 Al 3.29-3.38, 6 Cu 3.30-3.34, 2 Pt 3.34
Al: 0.0000 0.5000 0.3733  3 Cu 2.51-2.52, 2 Pt 2.52
Pt: 0.5000 0.5000 0.5000  4 Al 2.52
Al: 0.5000 0.0000 0.6267  3 Cu 2.51-2.52, 2 Pt 2.52
Cu: 0.5000 0.0000 0.8702  5 Al 2.51-2.54
Cu: 0.0000 0.5000 0.1298  5 Al 2.51-2.54
La: 0.5000 0.0000 0.2522  8 Al 3.29-3.38, 6 Cu 3.30-3.34, 2 Pt 3.34

Results
The value obtained for the density of states at the Fermi level is 0.83 states/eV per atom. The formation energy is -0.5706 eV per atom. For the final energy, the calculation gives -0.3591 Ry/atom.

# 12
A geometry-optimized AcLa8Pr3 structure, computed with PBE-GGA.

Lattice parameters (Å, degrees): 9.0417 9.0417 9.0417 97.39 136.04 98.72
Closest atoms and distances in Å follow each position.
Fractional positions:
La: 0.0551 0.2772 0.7777  1 La 3.01, 1 Pr 3.23
Pr: 0.0000 0.5000 0.5000  8 La 3.23-3.61
La: 0.5005 0.7228 0.7779  1 La 3.01, 1 Pr 3.23
Pr: 0.5000 0.2689 0.7689  10 La 3.81-4.09
La: 0.8230 0.5701 0.7469  6 La 3.54-3.80, 2 Pr 3.61-3.81, 1 Ac 3.67
La: 0.1768 0.4299 0.2529  6 La 3.54-3.80, 2 Pr 3.61-3.81, 1 Ac 3.67
La: 0.4995 0.2774 0.2223  1 La 3.01, 1 Pr 3.23
Pr: 0.5000 0.7311 0.2311  10 La 3.81-4.09
Ac: 0.0000 0.0000 0.0000  8 La 3.60-3.67
La: 0.1770 0.9239 0.7471  6 La 3.54-3.80, 2 Pr 3.61-3.81, 1 Ac 3.67
La: 0.8232 0.0761 0.2531  6 La 3.54-3.80, 2 Pr 3.61-3.81, 1 Ac 3.67
La: 0.9449 0.7226 0.2221  1 La 3.01, 1 Pr 3.23

Results
The value obtained for the density of states at the Fermi level is 1.55 states/eV per atom. The formation energy is 0.2641 eV per atom. For the final energy, the calculation gives -0.3350 Ry/atom.

# 13
A geometry-optimized K2AsOs structure, computed with PBE-GGA.

Lattice parameters (Å, degrees): 11.4339 11.4339 11.4339 14.92 14.92 14.92
Closest atoms and distances in Å follow each position.
Fractional positions:
K: 0.4991 0.4991 0.4991  6 K 2.97, 3 As 3.28
As: 0.7500 0.7500 0.7500  6 As 2.97, 6 K 3.28
Os: 0.2500 0.2500 0.2500  6 Os 2.97
K: 0.0009 0.0009 0.0009  6 K 2.97, 3 As 3.28

Results
The value obtained for the density of states at the Fermi level is 0.56 states/eV per atom. The formation energy is 0.8929 eV per atom. For the final energy, the calculation gives -0.2665 Ry/atom.

# 14
A geometry-optimized TlCo2W structure, computed with PBE-GGA.

Lattice parameters (Å, degrees): 4.9610 4.9610 4.9610 135.94 135.94 64.07
Closest atoms and distances in Å follow each position.
Fractional positions:
W: 0.7500 0.2500 0.5000  8 Co 2.63-2.81, 4 Tl 2.81
Co: 0.0000 0.0000 0.0000  4 Tl 2.63, 4 W 2.81, 4 Co 2.81
Co: 0.2500 0.7500 0.5000  4 W 2.63, 4 Co 2.81, 4 Tl 2.81
Tl: 0.5000 0.5000 0.0000  8 Co 2.63-2.81, 4 W 2.81

Results
The value obtained for the density of states at the Fermi level is 0.92 states/eV per atom. The distance to the lowest polymorph of the same formula is 1.26 eV/f.u. The formation energy is 0.6674 eV per atom. For the final energy, the calculation gives -0.4936 Ry/atom.